# 1
Compound: AlSnGe3
Source: Alexandria
Functional: PBE
Structure: relaxed

Cell lengths 4.927, 4.927, 4.927 Å; angles 90.00, 90.00, 90.00 degrees
Atoms (fractional coordinates):
1 Ge 0.000 0.500 0.000
2 Ge 0.000 0.000 0.500
3 Ge 0.500 0.000 0.000
4 Sn 0.500 0.500 0.500
5 Al 0.000 0.000 0.000

Space-group type   Pm-3m (221)
Magnetization   0.000 μB per formula unit
Formation enthalpy at 0 K   0.497 eV per atom

---

# 2
Compound: AlSnGe
Source: Alexandria
Functional: PBE
Structure: relaxed

Cell lengths 3.569, 3.569, 10.040 Å; angles 90.00, 90.00, 90.00 degrees
Atoms (fractional coordinates):
1 Ge 0.000 0.500 0.577
2 Ge 0.500 0.000 0.423
3 Al 0.500 0.000 0.705
4 Al 0.000 0.500 0.295
5 Sn 0.000 0.500 0.889
6 Sn 0.500 0.000 0.111

Space-group type   P4/nmm (129)
Magnetization   0.000 μB per formula unit
Formation enthalpy at 0 K   0.176 eV per atom

---

# 3
Compound: Al2SnGe
Source: Alexandria
Functional: PBE
Structure: relaxed

Cell lengths 3.978, 3.978, 6.829 Å; angles 73.07, 73.07, 60.00 degrees
Atoms (fractional coordinates):
1 Al 0.068 0.068 0.797
2 Al 0.265 0.265 0.204
3 Sn 0.501 0.501 0.497
4 Ge 0.666 0.666 0.002

Space-group type   R3m (160)
Magnetization   0.000 μB per formula unit
Formation enthalpy at 0 K   0.169 eV per atom

---

# 4
Compound: AlSn2Ge
Source: Alexandria
Functional: PBE
Structure: relaxed

Cell lengths 3.560, 3.560, 7.233 Å; angles 90.00, 90.00, 90.00 degrees
Atoms (fractional coordinates):
1 Ge 0.500 0.500 0.000
2 Sn 0.000 0.000 0.747
3 Sn 0.000 0.000 0.253
4 Al 0.500 0.500 0.500

Space-group type   P4/mmm (123)
Magnetization   0.000 μB per formula unit
Formation enthalpy at 0 K   0.206 eV per atom

---

# 5
Compound: AlSnGe
Source: Alexandria
Functional: PBE
Structure: relaxed

Cell lengths 4.649, 4.649, 4.649 Å; angles 60.00, 60.00, 60.00 degrees
Atoms (fractional coordinates):
1 Ge 0.000 0.000 0.000
2 Sn 0.500 0.500 0.500
3 Al 0.250 0.250 0.250

Space-group type   F-43m (216)
Magnetization   0.000 μB per formula unit
Formation enthalpy at 0 K   0.192 eV per atom

---

# 6
Compound: AlSn2Ge
Source: Alexandria
Functional: PBE
Structure: relaxed

Cell lengths 6.314, 6.314, 7.571 Å; angles 65.36, 65.36, 90.00 degrees
Atoms (fractional coordinates):
1 Ge 0.000 0.000 0.000
2 Ge 0.750 0.250 0.500
3 Sn 0.629 0.125 0.250
4 Sn 0.121 0.625 0.250
5 Sn 0.375 0.371 0.750
6 Sn 0.875 0.879 0.750
7 Al 0.500 0.500 0.000
8 Al 0.250 0.750 0.500

Space-group type   I-42d (122)
Magnetization   0.000 μB per formula unit
Formation enthalpy at 0 K   0.157 eV per atom